Below is crystalline RbFeHg2F8 at its relaxed geometry, with properties calculated at the PBE with a Hubbard U level.

Structure (POSCAR):
```
RbFeHg2F8
1.0
-3.3854 -2.3531 -2.6793
-0.7485 -2.2062 4.9733
-4.4533 5.8546 2.2948
Rb Fe Hg F
1 1 2 8
Direct
0.0000 0.0000 0.5000
0.0000 0.0000 0.0000
0.5756 0.4812 0.7583
0.4244 0.5188 0.2417
0.1644 0.8161 0.1954
0.6357 0.7685 0.0286
0.9632 0.2377 0.1700
0.8356 0.1839 0.8046
0.3643 0.2315 0.9714
0.0368 0.7623 0.8300
0.4424 0.7181 0.5527
0.5576 0.2819 0.4473
```

## Properties
V, A^3/atom: 16.82
ρ, g/cm³: 5.71
Total energy, eV per formula unit: -45.90
Space-group type: P-1, No. 2